(1)
Below is a relaxed structure of FeCo2Ge2, with properties calculated at the PBE level.

Results
magnetization = 0.00 μB/cell
E_tot = -6.315 eV per atom
calculated volume = 60.5 Å³/f.u.
D(E_F) = 19.918 states/eV per cell

```
FeCo2Ge2
1.0
6.724 0.000 0.000
0.000 6.724 0.000
0.000 0.000 2.675
Fe Co Ge
2 4 4
direct
0.000 0.000 0.000 Fe
0.500 0.500 0.000 Fe
0.143 0.357 0.500 Co
0.357 0.857 0.500 Co
0.643 0.143 0.500 Co
0.857 0.643 0.500 Co
0.156 0.656 0.000 Ge
0.344 0.156 0.000 Ge
0.656 0.844 0.000 Ge
0.844 0.344 0.000 Ge
```

---

(2)
Below is a relaxed structure of Fe3CoGe, with properties calculated at the PBE level.

Results
magnetization = 9.49 μB/cell
offset from the most stable computed form = 1.13 eV per formula unit
calculated volume = 85.1 Å³/f.u.
D(E_F) = 9.225 states/eV per cell

```
Fe3CoGe
1.0
4.398 0.000 0.000
0.000 4.398 0.000
0.000 0.000 4.398
Fe Co Ge
3 1 1
direct
0.000 0.000 0.500 Fe
0.000 0.500 0.000 Fe
0.500 0.000 0.000 Fe
0.500 0.500 0.500 Co
0.000 0.000 0.000 Ge
```

---

Copy entry 1 word for word.
Below is a relaxed structure of FeCo2Ge2, with properties calculated at the PBE level.

Results
magnetization = 0.00 μB/cell
E_tot = -6.315 eV per atom
calculated volume = 60.5 Å³/f.u.
D(E_F) = 19.918 states/eV per cell

```
FeCo2Ge2
1.0
6.724 0.000 0.000
0.000 6.724 0.000
0.000 0.000 2.675
Fe Co Ge
2 4 4
direct
0.000 0.000 0.000 Fe
0.500 0.500 0.000 Fe
0.143 0.357 0.500 Co
0.357 0.857 0.500 Co
0.643 0.143 0.500 Co
0.857 0.643 0.500 Co
0.156 0.656 0.000 Ge
0.344 0.156 0.000 Ge
0.656 0.844 0.000 Ge
0.844 0.344 0.000 Ge
```